No. 1
# CaNdMg17 | Alexandria | GGA-PBE | optimized geometry
data_CaNdMg17
_symmetry_space_group_name_H-M 'R 3 m'
_symmetry_Int_Tables_number 160
_symmetry_space_group_name_Hall 'R 3 -2"'
_cell_length_a 10.3342
_cell_length_b 10.3342
_cell_length_c 15.3023
_cell_angle_alpha 90.00
_cell_angle_beta 90.00
_cell_angle_gamma 120.00
loop_
_atom_site_label
_atom_site_type_symbol
_atom_site_fract_x
_atom_site_fract_y
_atom_site_fract_z
Ca1 Ca 0.0000 0.0000 0.0000
Nd1 Nd 0.0000 0.0000 0.6661
Mg1 Mg 0.0000 0.0000 0.2353
Mg2 Mg 0.0000 0.0000 0.4341
Mg3 Mg 0.0003 0.3028 0.3352
Mg4 Mg 0.0084 0.5042 0.4875
Mg5 Mg 0.1684 0.3368 0.1699
Mg6 Mg 0.1692 0.3384 0.5156
# M_tot, μB per formula unit: 0.0
# N(E_F), states/eV/f.u.: 8.71
# Calculated formation energy, eV/atom: -0.044
# Raw total energy, eV/atom: -1.83


No. 2
# CaNd3Mg2 | Alexandria | GGA-PBE | optimized geometry
data_CaNd3Mg2
_symmetry_space_group_name_H-M 'P 4/m m m'
_symmetry_Int_Tables_number 123
_symmetry_space_group_name_Hall '-P 4 2'
_cell_length_a 3.907
_cell_length_b 3.907
_cell_length_c 12.687
_cell_angle_alpha 90.00
_cell_angle_beta 90.00
_cell_angle_gamma 90.00
loop_
_atom_site_label
_atom_site_type_symbol
_atom_site_fract_x
_atom_site_fract_y
_atom_site_fract_z
Ca1 Ca 0.000 0.000 0.000
Nd1 Nd 0.500 0.500 0.203
Nd2 Nd 0.500 0.500 0.500
Mg1 Mg 0.000 0.000 0.350
# M_tot, μB per formula unit: 0.0
# N(E_F), states/eV/f.u.: 5.06
# Calculated formation energy, eV/atom: -0.047
# Raw total energy, eV/atom: -3.30


No. 3
# Ca3NdMg8 | Alexandria | GGA-PBE | optimized geometry
data_Ca3NdMg8
_symmetry_space_group_name_H-M 'R 3 m'
_symmetry_Int_Tables_number 160
_symmetry_space_group_name_Hall 'R 3 -2"'
_cell_length_a 6.1968
_cell_length_b 6.1968
_cell_length_c 30.2971
_cell_angle_alpha 90.00
_cell_angle_beta 90.00
_cell_angle_gamma 120.00
loop_
_atom_site_label
_atom_site_type_symbol
_atom_site_fract_x
_atom_site_fract_y
_atom_site_fract_z
Ca1 Ca 0.0000 0.0000 0.0000
Ca2 Ca 0.0000 0.0000 0.1260
Ca3 Ca 0.0000 0.0000 0.5013
Nd1 Nd 0.0000 0.0000 0.6252
Mg1 Mg 0.0000 0.0000 0.3130
Mg2 Mg 0.0000 0.0000 0.8132
Mg3 Mg 0.1672 0.3345 0.3961
Mg4 Mg 0.1669 0.3339 0.8972
# M_tot, μB per formula unit: 0.0
# N(E_F), states/eV/f.u.: 9.19
# Calculated formation energy, eV/atom: -0.113
# Raw total energy, eV/atom: -2.07


No. 4
# CaNd2Mg2 | Alexandria | GGA-PBE | optimized geometry
data_CaNd2Mg2
_symmetry_space_group_name_H-M 'P 1 21/m 1'
_symmetry_Int_Tables_number 11
_cell_length_a 3.808
_cell_length_b 5.624
_cell_length_c 14.763
_cell_angle_alpha 90.00
_cell_angle_beta 97.44
_cell_angle_gamma 90.00
loop_
_symmetry_equiv_pos_as_xyz
'x,y,z'
'-x,-y,-z'
'-x,y+1/2,-z'
'x,-y+1/2,z'
loop_
_atom_site_label
_atom_site_type_symbol
_atom_site_fract_x
_atom_site_fract_y
_atom_site_fract_z
Ca1 Ca 0.150 0.250 0.299
Nd1 Nd 0.045 0.750 0.090
Nd2 Nd 0.235 0.750 0.470
Mg1 Mg 0.359 0.250 0.721
Mg2 Mg 0.448 0.750 0.896
# M_tot, μB per formula unit: 0.4
# N(E_F), states/eV/f.u.: 6.91
# Calculated formation energy, eV/atom: -0.055
# Raw total energy, eV/atom: -3.00


No. 5
# Ca2Nd3Mg2 | Alexandria | GGA-PBE | optimized geometry
data_Ca2Nd3Mg2
_symmetry_space_group_name_H-M 'C m m m'
_symmetry_Int_Tables_number 65
_symmetry_space_group_name_Hall '-C 2 2'
_cell_length_a 3.758
_cell_length_b 34.138
_cell_length_c 3.698
_cell_angle_alpha 90.00
_cell_angle_beta 90.00
_cell_angle_gamma 90.00
loop_
_atom_site_label
_atom_site_type_symbol
_atom_site_fract_x
_atom_site_fract_y
_atom_site_fract_z
Ca1 Ca 0.000 0.201 0.000
Nd1 Nd 0.000 0.074 0.000
Nd2 Nd 0.000 0.500 0.500
Mg1 Mg 0.000 0.363 0.500
# M_tot, μB per formula unit: 0.0
# N(E_F), states/eV/f.u.: 7.71
# Calculated formation energy, eV/atom: -0.005
# Raw total energy, eV/atom: -3.08


No. 6
# CaNdMg5 | Alexandria | GGA-PBE | optimized geometry
data_CaNdMg5
_symmetry_space_group_name_H-M 'C m m m'
_symmetry_Int_Tables_number 65
_symmetry_space_group_name_Hall '-C 2 2'
_cell_length_a 6.525
_cell_length_b 9.645
_cell_length_c 6.729
_cell_angle_alpha 90.00
_cell_angle_beta 90.00
_cell_angle_gamma 90.00
loop_
_atom_site_label
_atom_site_type_symbol
_atom_site_fract_x
_atom_site_fract_y
_atom_site_fract_z
Ca1 Ca 0.000 0.000 0.000
Nd1 Nd 0.000 0.500 0.500
Mg1 Mg 0.000 0.500 0.000
Mg2 Mg 0.250 0.250 0.252
# M_tot, μB per formula unit: 0.0
# N(E_F), states/eV/f.u.: 5.21
# Calculated formation energy, eV/atom: 0.125
# Raw total energy, eV/atom: -1.98


No. 7
# CaNdMgNi | Alexandria | GGA-PBE | optimized geometry
data_CaNdMgNi
_symmetry_space_group_name_H-M 'F -4 3 m'
_symmetry_Int_Tables_number 216
_symmetry_space_group_name_Hall 'F -4 2 3'
_cell_length_a 7.331
_cell_length_b 7.331
_cell_length_c 7.331
_cell_angle_alpha 90.00
_cell_angle_beta 90.00
_cell_angle_gamma 90.00
loop_
_atom_site_label
_atom_site_type_symbol
_atom_site_fract_x
_atom_site_fract_y
_atom_site_fract_z
Ca1 Ca 0.000 0.000 0.000
Nd1 Nd 0.000 0.000 0.500
Mg1 Mg 0.250 0.250 0.250
Ni1 Ni 0.250 0.250 0.750
# M_tot, μB per formula unit: 0.0
# N(E_F), states/eV/f.u.: 2.20
# Calculated formation energy, eV/atom: -0.014
# Raw total energy, eV/atom: -3.55


No. 8
# CaNdMgPb | Alexandria | GGA-PBE | optimized geometry
data_CaNdMgPb
_symmetry_space_group_name_H-M 'F -4 3 m'
_symmetry_Int_Tables_number 216
_symmetry_space_group_name_Hall 'F -4 2 3'
_cell_length_a 7.796
_cell_length_b 7.796
_cell_length_c 7.796
_cell_angle_alpha 90.00
_cell_angle_beta 90.00
_cell_angle_gamma 90.00
loop_
_atom_site_label
_atom_site_type_symbol
_atom_site_fract_x
_atom_site_fract_y
_atom_site_fract_z
Ca1 Ca 0.000 0.000 0.000
Nd1 Nd 0.000 0.000 0.500
Mg1 Mg 0.250 0.250 0.750
Pb1 Pb 0.250 0.250 0.250
# M_tot, μB per formula unit: 0.0
# N(E_F), states/eV/f.u.: 3.48
# Calculated formation energy, eV/atom: -0.321
# Raw total energy, eV/atom: -3.34


No. 9
# CaNdMgPd | Alexandria | GGA-PBE | optimized geometry
data_CaNdMgPd
_symmetry_space_group_name_H-M 'F -4 3 m'
_symmetry_Int_Tables_number 216
_symmetry_space_group_name_Hall 'F -4 2 3'
_cell_length_a 7.426
_cell_length_b 7.426
_cell_length_c 7.426
_cell_angle_alpha 90.00
_cell_angle_beta 90.00
_cell_angle_gamma 90.00
loop_
_atom_site_label
_atom_site_type_symbol
_atom_site_fract_x
_atom_site_fract_y
_atom_site_fract_z
Ca1 Ca 0.000 0.000 0.000
Nd1 Nd 0.000 0.000 0.500
Mg1 Mg 0.250 0.250 0.750
Pd1 Pd 0.250 0.250 0.250
# M_tot, μB per formula unit: 0.0
# N(E_F), states/eV/f.u.: 2.20
# Calculated formation energy, eV/atom: -0.343
# Raw total energy, eV/atom: -3.73


No. 10
# CaPmNdMg | Alexandria | GGA-PBE | optimized geometry
data_CaPmNdMg
_symmetry_space_group_name_H-M 'F -4 3 m'
_symmetry_Int_Tables_number 216
_symmetry_space_group_name_Hall 'F -4 2 3'
_cell_length_a 8.050
_cell_length_b 8.050
_cell_length_c 8.050
_cell_angle_alpha 90.00
_cell_angle_beta 90.00
_cell_angle_gamma 90.00
loop_
_atom_site_label
_atom_site_type_symbol
_atom_site_fract_x
_atom_site_fract_y
_atom_site_fract_z
Ca1 Ca 0.000 0.000 0.000
Pm1 Pm 0.250 0.250 0.250
Nd1 Nd 0.250 0.250 0.750
Mg1 Mg 0.000 0.000 0.500
# M_tot, μB per formula unit: 0.0
# N(E_F), states/eV/f.u.: 3.93
# Calculated formation energy, eV/atom: 0.032
# ΔE to the lowest computed polymorph, meV/atom: 54.3
# Raw total energy, eV/atom: -3.25


No. 11
# CaPmNdMg | Alexandria | GGA-PBE | optimized geometry
data_CaPmNdMg
_symmetry_space_group_name_H-M 'P 4 m m'
_symmetry_Int_Tables_number 99
_cell_length_a 3.684
_cell_length_b 3.684
_cell_length_c 9.847
_cell_angle_alpha 90.00
_cell_angle_beta 90.00
_cell_angle_gamma 90.00
loop_
_symmetry_equiv_pos_as_xyz
'x,y,z'
'-y,x,z'
'-x,-y,z'
'y,-x,z'
'-x,y,z'
'y,x,z'
'x,-y,z'
'-y,-x,z'
loop_
_atom_site_label
_atom_site_type_symbol
_atom_site_fract_x
_atom_site_fract_y
_atom_site_fract_z
Ca1 Ca 0.000 0.000 0.000
Pm1 Pm 0.000 0.000 0.455
Nd1 Nd 0.500 0.500 0.708
Mg1 Mg 0.500 0.500 0.232
# M_tot, μB per formula unit: 0.0
# N(E_F), states/eV/f.u.: 4.98
# Calculated formation energy, eV/atom: -0.022
# ΔE to the lowest computed polymorph, meV/atom: 0.0
# Raw total energy, eV/atom: -3.30


No. 12
# CaPrNdMg | Alexandria | GGA-PBE | optimized geometry
data_CaPrNdMg
_symmetry_space_group_name_H-M 'F -4 3 m'
_symmetry_Int_Tables_number 216
_symmetry_space_group_name_Hall 'F -4 2 3'
_cell_length_a 8.095
_cell_length_b 8.095
_cell_length_c 8.095
_cell_angle_alpha 90.00
_cell_angle_beta 90.00
_cell_angle_gamma 90.00
loop_
_atom_site_label
_atom_site_type_symbol
_atom_site_fract_x
_atom_site_fract_y
_atom_site_fract_z
Ca1 Ca 0.000 0.000 0.000
Pr1 Pr 0.250 0.250 0.750
Nd1 Nd 0.250 0.250 0.250
Mg1 Mg 0.000 0.000 0.500
# M_tot, μB per formula unit: 0.0
# N(E_F), states/eV/f.u.: 3.91
# Calculated formation energy, eV/atom: 0.022
# ΔE to the lowest computed polymorph, meV/atom: 46.7
# Raw total energy, eV/atom: -3.26